Entry from Alexandria via LeMat-Bulk: crystalline CsInGe at its relaxed geometry (PBE).

Output
Magnetic moment, μB/f.u.: 0.00
Energy relative to the elements, meV/atom: -158
Crystal system: tetragonal
Uncorrected energy, eV per cell: -17.37
N(E_F), states/eV per atom: 0.1680

a = 4.750 Å, b = 4.750 Å, c = 9.308 Å
α = 90.00°, β = 90.00°, γ = 90.00°
Space group P4/nmm (No. 129, origin choice 2)
Symmetry-distinct sites (fractional):
1 Cs 0.250 0.250 0.160
2 In 0.250 0.750 0.500
3 Ge 0.250 0.250 0.681

=====

Entry from Alexandria via LeMat-Bulk: crystalline KIN2 at its relaxed geometry (PBE).

Output
Magnetic moment, μB/f.u.: 0.00
E above lowest polymorph, eV per atom: 2.603
Crystal system: cubic
Uncorrected energy, eV per cell: -46.76
N(E_F), states/eV per atom: 0.3943
E_form (uncorrected), meV per atom: 1902.2

a = 6.349 Å, b = 6.349 Å, c = 6.349 Å
α = 90.00°, β = 90.00°, γ = 90.00°
Space group Fm-3m (No. 225)
Symmetry-distinct sites (fractional):
1 K 0.000 0.000 0.000
2 I 0.000 0.000 0.500
3 N 0.250 0.250 0.250

=====

Entry from Alexandria via LeMat-Bulk: crystalline YFe2Si2C at its relaxed geometry (PBE).

Output
Magnetic moment, μB/f.u.: 1.52
Crystal system: tetragonal
Uncorrected energy, eV per cell: -45.95
N(E_F), states/eV per atom: 0.8758
E_form (uncorrected), meV per atom: -415.7

a = 3.883 Å, b = 3.883 Å, c = 5.170 Å
α = 90.00°, β = 90.00°, γ = 90.00°
Space group P4/mmm (No. 123)
Symmetry-distinct sites (fractional):
1 Y 0.000 0.000 0.000
2 Fe 0.000 0.500 0.500
3 Si 0.500 0.500 0.230
4 C 0.000 0.000 0.500

=====

Entry from Alexandria via LeMat-Bulk: crystalline ZnPPbO2 at its relaxed geometry (PBE).

Output
Magnetic moment, μB/f.u.: 0.82
E above lowest polymorph, eV per atom: 0.307
Crystal system: tetragonal
Uncorrected energy, eV per cell: -19.00
N(E_F), states/eV per atom: 1.0730
E_form (uncorrected), meV per atom: 261.9

a = 4.129 Å, b = 4.129 Å, c = 5.714 Å
α = 90.00°, β = 90.00°, γ = 90.00°
Space group P4/mmm (No. 123)
Symmetry-distinct sites (fractional):
1 Zn 0.000 0.000 0.000
2 P 0.500 0.500 0.000
3 Pb 0.500 0.500 0.500
4 O 0.000 0.500 0.500

=====

Entry from Alexandria via LeMat-Bulk: crystalline YCo2Ag at its relaxed geometry (PBE).

Output
Magnetic moment, μB/f.u.: 2.47
Energy relative to the elements, meV/atom: 249
E above lowest polymorph, eV per atom: 0.138
Crystal system: orthorhombic
Uncorrected energy, eV per cell: -22.53
N(E_F), states/eV per atom: 1.1735

a = 3.384 Å, b = 3.449 Å, c = 5.912 Å
α = 90.00°, β = 90.00°, γ = 90.00°
Space group Pmmm (No. 47)
Symmetry-distinct sites (fractional):
1 Y 0.000 0.000 0.000
2 Co 0.500 0.500 0.297
3 Ag 0.000 0.000 0.500

=====

Entry from Alexandria via LeMat-Bulk: crystalline Tb3Ho8Tm3 at its relaxed geometry (PBE).

Output
Magnetic moment, μB/f.u.: 0.00
Energy relative to the elements, meV/atom: 124
E above lowest polymorph, eV per atom: 0.009
Crystal system: orthorhombic
Uncorrected energy, eV per cell: -124.39
N(E_F), states/eV per atom: 1.4407

a = 5.551 Å, b = 10.660 Å, c = 14.792 Å
α = 90.00°, β = 90.00°, γ = 90.00°
Space group Immm (No. 71)
Symmetry-distinct sites (fractional):
1 Tb 0.000 0.000 0.000
2 Tb 0.000 0.300 0.000
3 Ho 0.000 0.158 0.223
4 Ho 0.000 0.341 0.396
5 Tm 0.000 0.000 0.500
6 Tm 0.000 0.500 0.183

=====

Copy entry 6 word for word.
Entry from Alexandria via LeMat-Bulk: crystalline Tb3Ho8Tm3 at its relaxed geometry (PBE).

Output
Magnetic moment, μB/f.u.: 0.00
Energy relative to the elements, meV/atom: 124
E above lowest polymorph, eV per atom: 0.009
Crystal system: orthorhombic
Uncorrected energy, eV per cell: -124.39
N(E_F), states/eV per atom: 1.4407

a = 5.551 Å, b = 10.660 Å, c = 14.792 Å
α = 90.00°, β = 90.00°, γ = 90.00°
Space group Immm (No. 71)
Symmetry-distinct sites (fractional):
1 Tb 0.000 0.000 0.000
2 Tb 0.000 0.300 0.000
3 Ho 0.000 0.158 0.223
4 Ho 0.000 0.341 0.396
5 Tm 0.000 0.000 0.500
6 Tm 0.000 0.500 0.183